A plane-wave DFT calculation with PBE was carried out for a geometry-optimized Sr2HfPt structure.

The calculation puts the total energy at -4.39 eV/atom. The density of states at the Fermi level comes out at 5.486 states/eV per cell. The formation enthalpy at 0 K comes out at 449 meV per atom. As for the space group: No. 225. As for the relative energy among the computed polymorphs: 430 meV per atom.

Unit cell a=5.417 b=5.417 c=5.417 alpha=60.00 beta=60.00 gamma=60.00
Positions (direct):
Pt1 0.500 0.500 0.500
Hf1 0.000 0.000 0.000
Sr1 0.750 0.750 0.750
Sr2 0.250 0.250 0.250